1.
Entry from the Alexandria database: an optimized crystal structure of YTaFe2 (PBE-GGA).

Structure (POSCAR):
```
YTaFe2
1.0
8.885 -0.007 -0.004
8.356 3.019 -0.004
8.356 1.460 2.643
Ta Fe Y
1 2 1
Cartesian
13.168 2.301 1.355
25.242 4.410 2.598
6.513 1.138 0.670
19.068 3.332 1.963
```

## Properties
Magnetic moment   4.45 μB/f.u.
Energy of formation   0.4740 eV per atom
Crystal system   trigonal

2.
Entry from the Alexandria database: an optimized crystal structure of Li3Dy2Cd4 (PBE-GGA).

Structure (POSCAR):
```
Li3Dy2Cd4
1.0
4.836 -0.009 0.013
2.410 4.998 0.719
0.018 1.076 8.288
Cd Dy Li
4 2 3
Cartesian
2.416 4.588 3.614
2.422 0.848 1.426
4.842 5.218 7.595
4.847 1.478 5.406
4.842 2.742 2.117
2.421 3.324 6.903
2.427 1.807 4.078
0.000 0.000 0.000
4.836 4.259 4.943
```

## Properties
Magnetic moment   0.00 μB/f.u.
Relative energy among the computed polymorphs   0.0 meV/atom
Energy of formation   -0.2242 eV per atom
Crystal system   triclinic